Record 1
PaFeSnPd (GGA-PBE, optimized geometry); uncorrected energy = -28.2 eV for the cell shown; ΔH_f (0 K) = -0.267 eV/atom; mass density = 11097 kg/m³; N(E_F) = 3.9 states/eV/f.u.
1.0
0.0000 3.3710 3.3710
3.3710 0.0000 3.3710
3.3710 3.3710 0.0000
Pa Fe Sn Pd
1 1 1 1
Direct
0.0000 0.0000 0.0000
0.7500 0.7500 0.7500
0.5000 0.5000 0.5000
0.2500 0.2500 0.2500

***

Record 2
Zr2ScRe (GGA-PBE, optimized geometry); uncorrected energy = -35.9 eV for the cell shown; ΔH_f (0 K) = -0.001 eV/atom; mass density = 8417 kg/m³; N(E_F) = 5.0 states/eV/f.u.
1.0
3.1110 0.0000 0.0000
0.0000 4.5433 0.0000
-1.3716 0.0000 5.7732
Zr Sc Re
2 1 1
Direct
0.1852 0.0000 0.2734
0.8148 0.0000 0.7266
0.5000 0.5000 0.0000
0.0000 0.5000 0.5000

***

Record 3
Tb2Dy6YTm3 (GGA-PBE, optimized geometry); uncorrected energy = -56.5 eV for the cell shown; ΔH_f (0 K) = 0.020 eV/atom; mass density = 8383 kg/m³; N(E_F) = 16.3 states/eV/f.u.
1.0
3.0625 -5.2980 0.0000
3.0625 5.2980 0.0000
-2.0307 0.0000 11.5282
Tb Dy Y Tm
2 6 1 3
Direct
0.1666 0.8334 0.0000
0.8334 0.1666 0.0000
0.0813 0.4153 0.7478
0.2508 0.2508 0.2523
0.4153 0.0813 0.7478
0.5847 0.9187 0.2522
0.7492 0.7492 0.7477
0.9187 0.5847 0.2522
0.5000 0.5000 0.0000
0.0000 0.0000 0.5000
0.3334 0.6666 0.5000
0.6666 0.3334 0.5000

***

Record 4
PrSm5Pd2 (GGA-PBE, optimized geometry); uncorrected energy = -82.8 eV for the cell shown; ΔH_f (0 K) = -0.332 eV/atom; mass density = 7780 kg/m³; N(E_F) = 8.2 states/eV/f.u.
1.0
1.9659 -6.3665 0.0000
1.9659 6.3665 0.0000
0.0000 0.0000 18.8522
Pr Sm Pd
2 10 4
Direct
0.1363 0.8637 0.7500
0.8637 0.1363 0.2500
0.1308 0.8692 0.2500
0.1476 0.8524 0.5390
0.1476 0.8524 0.9610
0.4402 0.5598 0.6103
0.4402 0.5598 0.8897
0.5598 0.4402 0.1103
0.5598 0.4402 0.3897
0.8524 0.1476 0.0390
0.8524 0.1476 0.4610
0.8692 0.1308 0.7500
0.2617 0.7383 0.1285
0.2617 0.7383 0.3715
0.7383 0.2617 0.6285
0.7383 0.2617 0.8715